# Cs2Fe (PBE, optimized geometry)
data_Cs2Fe
_space_group_name_H-M_alt 'P 42/m n m'
_space_group_IT_number 136
_space_group_name_Hall '-P 4n 2n'
_cell_length_a 9.103
_cell_length_b 9.103
_cell_length_c 5.863
_cell_angle_alpha 90.00
_cell_angle_beta 90.00
_cell_angle_gamma 90.00
loop_
_atom_site_label
_atom_site_type_symbol
_atom_site_fract_x
_atom_site_fract_y
_atom_site_fract_z
_atom_site_occupancy
Cs1 Cs 0.194 0.194 0.000 1
Fe1 Fe 0.000 0.000 0.500 1
# raw total energy: -2.2252 eV per atom